# DyEr5Pd2 | Alexandria via LeMat-Bulk | PBE-GGA | optimized geometry
data_DyEr5Pd2
_symmetry_space_group_name_H-M 'P 1'
_symmetry_Int_Tables_number 1
_symmetry_space_group_name_Hall 'P 1'
_cell_length_a 6.780
_cell_length_b 6.780
_cell_length_c 18.038
_cell_angle_alpha 90.00
_cell_angle_beta 90.00
_cell_angle_gamma 148.08
loop_
_atom_site_label
_atom_site_fract_x
_atom_site_fract_y
_atom_site_fract_z
Dy1 0.186 0.814 0.750
Dy2 0.814 0.186 0.250
Er1 0.081 0.919 0.250
Er2 0.164 0.836 0.551
Er3 0.164 0.836 0.949
Er4 0.447 0.553 0.592
Er5 0.447 0.553 0.908
Er6 0.553 0.447 0.092
Er7 0.553 0.447 0.408
Er8 0.836 0.164 0.051
Er9 0.836 0.164 0.449
Er10 0.919 0.081 0.750
Pd1 0.223 0.777 0.134
Pd2 0.223 0.777 0.366
Pd3 0.777 0.223 0.634
Pd4 0.777 0.223 0.866
# Formation energy from the elements ... -0.384 eV/atom
# Crystal system ... orthorhombic
# Magnetization ... 0.00 μB/f.u.